Entry 1:
A plane-wave DFT calculation with PBE-GGA was carried out for AsCSe2Br after structural relaxation.

POSCAR file:
```
AsCSe2Br
1.0
4.447 0.000 0.000
0.000 4.447 0.000
0.000 0.000 4.656
As C Se Br
1 1 2 1
Direct
0.000 0.000 0.000 As
0.500 0.500 0.500 C
0.000 0.500 0.500 Se
0.500 0.000 0.500 Se
0.500 0.500 0.000 Br
```

Values from the calculation:
Its uncorrected formation energy is 1.2100 eV/atom. The density of states at the Fermi level comes out at 0.62 states/eV per atom.

***

Entry 2:
A plane-wave DFT calculation with PBE-GGA was carried out for PmNdAlPt after structural relaxation.

POSCAR file:
```
PmNdAlPt
1.0
0.000 3.671 3.671
3.671 0.000 3.671
3.671 3.671 0.000
Pm Nd Al Pt
1 1 1 1
Direct
0.000 0.000 0.000 Pm
0.500 0.500 0.500 Nd
0.750 0.750 0.750 Al
0.250 0.250 0.250 Pt
```

Values from the calculation:
The formation energy comes out at -603.8 meV per atom. The density of states at the Fermi level comes out at 0.80 states/eV per atom.

***

Entry 3:
A plane-wave DFT calculation with PBE-GGA was carried out for Hf5AgRu4 after structural relaxation.

POSCAR file:
```
Hf5AgRu4
1.0
3.231 0.000 0.000
0.000 3.231 0.000
0.000 0.000 16.885
Hf Ag Ru
5 1 4
Direct
0.000 0.000 0.000 Hf
0.000 0.000 0.193 Hf
0.000 0.000 0.387 Hf
0.000 0.000 0.613 Hf
0.000 0.000 0.807 Hf
0.500 0.500 0.500 Ag
0.500 0.500 0.097 Ru
0.500 0.500 0.291 Ru
0.500 0.500 0.709 Ru
0.500 0.500 0.903 Ru
```

Values from the calculation:
The formation energy comes out at -634.7 meV per atom. The density of states at the Fermi level comes out at 0.46 states/eV per atom.